[1]
DFT (PBE-GGA) results for a relaxed Y5Zn crystal.

CIF file:
```
data_Y5Zn
_chemical_formula_sum 'Y5 Zn1'
_cell_length_a 3.574
_cell_length_b 3.574
_cell_length_c 13.806
_cell_angle_alpha 90.00
_cell_angle_beta 90.00
_cell_angle_gamma 90.00
_symmetry_space_group_name_H-M 'P 4/m m m'
_symmetry_Int_Tables_number 123
_symmetry_space_group_name_Hall '-P 4 2'
loop_
_atom_site_label
_atom_site_type_symbol
_atom_site_fract_x
_atom_site_fract_y
_atom_site_fract_z
Y1 Y 0.000 0.000 0.000
Y2 Y 0.000 0.000 0.372
Y3 Y 0.500 0.500 0.183
Zn1 Zn 0.500 0.500 0.500
```

Values from the calculation:
**Total DFT energy (no corrections)**: -5.703 eV/atom
**Total magnetic moment**: 0.00 μB per cell
**V**: 29.4 Å³ per atom

***

[2]
DFT (PBE-GGA) results for a relaxed CeHoErHf crystal.

CIF file:
```
data_CeHoErHf
_chemical_formula_sum 'Ce4 Ho4 Er4 Hf4'
_cell_length_a 7.644
_cell_length_b 7.644
_cell_length_c 7.644
_cell_angle_alpha 90.00
_cell_angle_beta 90.00
_cell_angle_gamma 90.00
_symmetry_space_group_name_H-M 'F -4 3 m'
_symmetry_Int_Tables_number 216
_symmetry_space_group_name_Hall 'F -4 2 3'
loop_
_atom_site_label
_atom_site_type_symbol
_atom_site_fract_x
_atom_site_fract_y
_atom_site_fract_z
Ce1 Ce 0.000 0.000 0.000
Ho1 Ho 0.000 0.000 0.500
Er1 Er 0.250 0.250 0.750
Hf1 Hf 0.250 0.250 0.250
```

Values from the calculation:
**Total DFT energy (no corrections)**: -6.002 eV/atom
**Total magnetic moment**: 2.51 μB per cell
**V**: 27.9 Å³ per atom

***

Repeat the second record exactly.
DFT (PBE-GGA) results for a relaxed CeHoErHf crystal.

CIF file:
```
data_CeHoErHf
_chemical_formula_sum 'Ce4 Ho4 Er4 Hf4'
_cell_length_a 7.644
_cell_length_b 7.644
_cell_length_c 7.644
_cell_angle_alpha 90.00
_cell_angle_beta 90.00
_cell_angle_gamma 90.00
_symmetry_space_group_name_H-M 'F -4 3 m'
_symmetry_Int_Tables_number 216
_symmetry_space_group_name_Hall 'F -4 2 3'
loop_
_atom_site_label
_atom_site_type_symbol
_atom_site_fract_x
_atom_site_fract_y
_atom_site_fract_z
Ce1 Ce 0.000 0.000 0.000
Ho1 Ho 0.000 0.000 0.500
Er1 Er 0.250 0.250 0.750
Hf1 Hf 0.250 0.250 0.250
```

Values from the calculation:
**Total DFT energy (no corrections)**: -6.002 eV/atom
**Total magnetic moment**: 2.51 μB per cell
**V**: 27.9 Å³ per atom

***

What did the first record say?
DFT (PBE-GGA) results for a relaxed Y5Zn crystal.

CIF file:
```
data_Y5Zn
_chemical_formula_sum 'Y5 Zn1'
_cell_length_a 3.574
_cell_length_b 3.574
_cell_length_c 13.806
_cell_angle_alpha 90.00
_cell_angle_beta 90.00
_cell_angle_gamma 90.00
_symmetry_space_group_name_H-M 'P 4/m m m'
_symmetry_Int_Tables_number 123
_symmetry_space_group_name_Hall '-P 4 2'
loop_
_atom_site_label
_atom_site_type_symbol
_atom_site_fract_x
_atom_site_fract_y
_atom_site_fract_z
Y1 Y 0.000 0.000 0.000
Y2 Y 0.000 0.000 0.372
Y3 Y 0.500 0.500 0.183
Zn1 Zn 0.500 0.500 0.500
```

Values from the calculation:
**Total DFT energy (no corrections)**: -5.703 eV/atom
**Total magnetic moment**: 0.00 μB per cell
**V**: 29.4 Å³ per atom

***

What did the second record say?
DFT (PBE-GGA) results for a relaxed CeHoErHf crystal.

CIF file:
```
data_CeHoErHf
_chemical_formula_sum 'Ce4 Ho4 Er4 Hf4'
_cell_length_a 7.644
_cell_length_b 7.644
_cell_length_c 7.644
_cell_angle_alpha 90.00
_cell_angle_beta 90.00
_cell_angle_gamma 90.00
_symmetry_space_group_name_H-M 'F -4 3 m'
_symmetry_Int_Tables_number 216
_symmetry_space_group_name_Hall 'F -4 2 3'
loop_
_atom_site_label
_atom_site_type_symbol
_atom_site_fract_x
_atom_site_fract_y
_atom_site_fract_z
Ce1 Ce 0.000 0.000 0.000
Ho1 Ho 0.000 0.000 0.500
Er1 Er 0.250 0.250 0.750
Hf1 Hf 0.250 0.250 0.250
```

Values from the calculation:
**Total DFT energy (no corrections)**: -6.002 eV/atom
**Total magnetic moment**: 2.51 μB per cell
**V**: 27.9 Å³ per atom

***

Repeat the second record exactly.
DFT (PBE-GGA) results for a relaxed CeHoErHf crystal.

CIF file:
```
data_CeHoErHf
_chemical_formula_sum 'Ce4 Ho4 Er4 Hf4'
_cell_length_a 7.644
_cell_length_b 7.644
_cell_length_c 7.644
_cell_angle_alpha 90.00
_cell_angle_beta 90.00
_cell_angle_gamma 90.00
_symmetry_space_group_name_H-M 'F -4 3 m'
_symmetry_Int_Tables_number 216
_symmetry_space_group_name_Hall 'F -4 2 3'
loop_
_atom_site_label
_atom_site_type_symbol
_atom_site_fract_x
_atom_site_fract_y
_atom_site_fract_z
Ce1 Ce 0.000 0.000 0.000
Ho1 Ho 0.000 0.000 0.500
Er1 Er 0.250 0.250 0.750
Hf1 Hf 0.250 0.250 0.250
```

Values from the calculation:
**Total DFT energy (no corrections)**: -6.002 eV/atom
**Total magnetic moment**: 2.51 μB per cell
**V**: 27.9 Å³ per atom